The following is a DFT calculation (PBE) of an optimized crystal structure of Y3Tm2S8.

Structure (POSCAR):
```
Y3Tm2S8
1.0
6.8009 -3.9342 0.0000
6.8009 3.9342 0.0000
-2.3004 0.0000 6.2607
Y Tm S
3 2 8
Direct
0.0000 0.0000 0.0000
0.2628 0.7372 0.5000
0.7372 0.2628 0.5000
0.2613 0.2613 0.8422
0.7387 0.7387 0.1578
0.1092 0.6387 0.0845
0.1189 0.1189 0.4313
0.3613 0.8908 0.9155
0.3818 0.3818 0.6005
0.6182 0.6182 0.3995
0.6387 0.1092 0.0845
0.8811 0.8811 0.5687
0.8908 0.3613 0.9155
```

Summary:
The space group is C2/m, No. 12. The uncorrected energy is -6.59 eV/atom.